Record 1
# SiTcIr2Rh (SCAN, single point on PBEsol structure)
data_SiTcIr2Rh
_chemical_formula_sum 'Si1 Tc1 Ir2 Rh1'
_symmetry_space_group_name_H-M 'P 4/m m m'
_symmetry_Int_Tables_number 123
_symmetry_space_group_name_Hall '-P 4 2'
_cell_length_a 4.3106
_cell_length_b 4.3106
_cell_length_c 4.3036
_cell_angle_alpha 90.00
_cell_angle_beta 90.00
_cell_angle_gamma 90.00
loop_
_atom_site_label
_atom_site_type_symbol
_atom_site_fract_x
_atom_site_fract_y
_atom_site_fract_z
Si1 Si 0.0000 0.0000 0.0000
Tc1 Tc 0.0000 0.0000 0.5000
Ir1 Ir 0.0000 0.5000 0.0000
Rh1 Rh 0.5000 0.5000 0.5000
# - Final energy: -43.223 eV/atom
# - Energy relative to the elements, uncorrected: 4.93 eV per formula unit


Record 2
# TiGeN2F (SCAN, single point on PBEsol structure)
data_TiGeN2F
_chemical_formula_sum 'Ti1 Ge1 N2 F1'
_symmetry_space_group_name_H-M 'P 4/m m m'
_symmetry_Int_Tables_number 123
_symmetry_space_group_name_Hall '-P 4 2'
_cell_length_a 3.7862
_cell_length_b 3.7862
_cell_length_c 3.6375
_cell_angle_alpha 90.00
_cell_angle_beta 90.00
_cell_angle_gamma 90.00
loop_
_atom_site_label
_atom_site_type_symbol
_atom_site_fract_x
_atom_site_fract_y
_atom_site_fract_z
Ti1 Ti 0.0000 0.0000 0.0000
Ge1 Ge 0.5000 0.5000 0.5000
N1 N 0.0000 0.5000 0.5000
F1 F 0.5000 0.5000 0.0000
# - Final energy: -11.762 eV/atom
# - Energy relative to the lowest polymorph listed for this composition: 1.67 eV per formula unit
# - Energy relative to the elements, uncorrected: -1.57 eV per formula unit


Record 3
# Ba2AgC (SCAN, single point on PBEsol structure)
data_Ba2AgC
_chemical_formula_sum 'Ba8 Ag4 C4'
_symmetry_space_group_name_H-M 'I -4 2 d'
_symmetry_Int_Tables_number 122
_symmetry_space_group_name_Hall 'I -4 2bw'
_cell_length_a 7.9517
_cell_length_b 7.9517
_cell_length_c 8.3302
_cell_angle_alpha 90.00
_cell_angle_beta 90.00
_cell_angle_gamma 90.00
loop_
_atom_site_label
_atom_site_type_symbol
_atom_site_fract_x
_atom_site_fract_y
_atom_site_fract_z
Ba1 Ba 0.1795 0.2500 0.1250
Ag1 Ag 0.0000 0.0000 0.5000
C1 C 0.0000 0.0000 0.0000
# - Energy relative to the elements: 55.24 kJ per mole of atoms
# - Final energy: -29.569 eV/atom


Record 4
# LiSbAu2 (SCAN, single point on PBEsol structure)
data_LiSbAu2
_chemical_formula_sum 'Li1 Sb1 Au2'
_symmetry_space_group_name_H-M 'P m m 2'
_symmetry_Int_Tables_number 25
_cell_length_a 3.1220
_cell_length_b 4.0590
_cell_length_c 5.7162
_cell_angle_alpha 90.00
_cell_angle_beta 90.00
_cell_angle_gamma 90.00
loop_
_symmetry_equiv_pos_as_xyz
'x,y,z'
'-x,-y,z'
'-x,y,z'
'x,-y,z'
loop_
_atom_site_label
_atom_site_type_symbol
_atom_site_fract_x
_atom_site_fract_y
_atom_site_fract_z
Li1 Li 0.0000 0.0000 0.0000
Sb1 Sb 0.5000 0.5000 0.2833
Au1 Au 0.0000 0.0000 0.5383
Au2 Au 0.5000 0.5000 0.7964
# - Final energy: -44.747 eV/atom
# - Energy relative to the elements, uncorrected: -1.02 eV per formula unit


Record 5
# RbSbSO4F2 (SCAN, single point on PBEsol structure)
data_RbSbSO4F2
_chemical_formula_sum 'Rb4 Sb4 S4 O16 F8'
_symmetry_space_group_name_H-M 'P n a 21'
_symmetry_Int_Tables_number 33
_cell_length_a 9.5264
_cell_length_b 11.4257
_cell_length_c 5.2927
_cell_angle_alpha 90.00
_cell_angle_beta 90.00
_cell_angle_gamma 90.00
loop_
_symmetry_equiv_pos_as_xyz
'x,y,z'
'-x,-y,z+1/2'
'-x+1/2,y+1/2,z+1/2'
'x+1/2,-y+1/2,z'
loop_
_atom_site_label
_atom_site_type_symbol
_atom_site_fract_x
_atom_site_fract_y
_atom_site_fract_z
Rb1 Rb 0.0155 0.1574 0.0000
Sb1 Sb 0.1709 0.5906 0.0064
S1 S 0.1924 0.3732 0.4614
O1 O 0.0720 0.3355 0.6179
O2 O 0.1311 0.4344 0.2317
O3 O 0.2100 0.9479 0.0988
O4 O 0.2327 0.7678 0.8541
F1 F 0.1243 0.0622 0.5472
F2 F 0.1873 0.6705 0.3326
# - Final energy: -13.116 eV/atom
# - Energy relative to the elements, uncorrected: -18.41 eV per formula unit


Record 6
# TlSn3Au (SCAN, single point on PBEsol structure)
data_TlSn3Au
_chemical_formula_sum 'Tl1 Sn3 Au1'
_symmetry_space_group_name_H-M 'P m -3 m'
_symmetry_Int_Tables_number 221
_symmetry_space_group_name_Hall '-P 4 2 3'
_cell_length_a 5.3447
_cell_length_b 5.3447
_cell_length_c 5.3447
_cell_angle_alpha 90.00
_cell_angle_beta 90.00
_cell_angle_gamma 90.00
loop_
_atom_site_label
_atom_site_type_symbol
_atom_site_fract_x
_atom_site_fract_y
_atom_site_fract_z
Tl1 Tl 0.0000 0.0000 0.0000
Sn1 Sn 0.0000 0.5000 0.5000
Au1 Au 0.5000 0.5000 0.5000
# - Energy relative to the elements: 31.87 kJ per mole of atoms
# - Final energy: -49.525 eV/atom


Record 7
# K5Au (SCAN, single point on PBEsol structure)
data_K5Au
_chemical_formula_sum 'K5 Au1'
_symmetry_space_group_name_H-M 'P 4/m m m'
_symmetry_Int_Tables_number 123
_symmetry_space_group_name_Hall '-P 4 2'
_cell_length_a 4.1784
_cell_length_b 4.1784
_cell_length_c 18.0962
_cell_angle_alpha 90.00
_cell_angle_beta 90.00
_cell_angle_gamma 90.00
loop_
_atom_site_label
_atom_site_type_symbol
_atom_site_fract_x
_atom_site_fract_y
_atom_site_fract_z
K1 K 0.0000 0.0000 0.0000
K2 K 0.0000 0.0000 0.4027
K3 K 0.5000 0.5000 0.2006
Au1 Au 0.5000 0.5000 0.5000
# - Energy relative to the elements: -11.72 kJ per mole of atoms
# - Final energy: -18.588 eV/atom
# - Energy relative to the lowest polymorph listed for this composition: 0.00 eV per formula unit


Record 8
# Zr2BMoN (SCAN, single point on PBEsol structure)
data_Zr2BMoN
_chemical_formula_sum 'Zr2 B1 Mo1 N1'
_symmetry_space_group_name_H-M 'P 4/m m m'
_symmetry_Int_Tables_number 123
_symmetry_space_group_name_Hall '-P 4 2'
_cell_length_a 4.5811
_cell_length_b 4.5811
_cell_length_c 3.1762
_cell_angle_alpha 90.00
_cell_angle_beta 90.00
_cell_angle_gamma 90.00
loop_
_atom_site_label
_atom_site_type_symbol
_atom_site_fract_x
_atom_site_fract_y
_atom_site_fract_z
Zr1 Zr 0.0000 0.5000 0.0000
B1 B 0.0000 0.0000 0.5000
Mo1 Mo 0.5000 0.5000 0.5000
N1 N 0.0000 0.0000 0.0000
# - Final energy: -22.851 eV/atom
# - Energy relative to the elements, uncorrected: -1.25 eV per formula unit


Among the records above, which one has the lowest final energy?
TlSn3Au


The highest final energy belongs to which entry?
TiGeN2F


The highest final energy belongs to which entry?
TiGeN2F